Below is crystalline KTaS2N at its relaxed geometry, with properties calculated at the PBE level.

As for the density of states at the Fermi level: 2.247 states/eV per cell. For the calculated density, the calculation gives 4.96 Mg/m³. As for the space-group type: P4/mmm. The value obtained for the energy above the most stable polymorph in this dataset is 0 meV/atom.

```
KTaS2N
1.0
4.9544 0.0000 0.0000
0.0000 4.9544 0.0000
0.0000 0.0000 4.0665
K Ta S N
1 1 2 1
direct
0.0000 0.0000 0.0000
0.5000 0.5000 0.5000
0.0000 0.5000 0.5000
0.5000 0.0000 0.5000
0.5000 0.5000 0.0000
```


Below is crystalline LiIn6Ni at its relaxed geometry, with properties calculated at the PBE level.

As for the density of states at the Fermi level: 3.034 states/eV per cell. The formation energy is -0.063 eV per atom. For the calculated density, the calculation gives 6.74 Mg/m³. As for the space-group type: C2/m.

```
LiIn6Ni
1.0
3.8239 -6.5889 0.0000
3.8239 6.5889 0.0000
-2.7738 0.0000 3.6892
Li In Ni
1 6 1
direct
0.0000 0.0000 0.0000
0.0757 0.4293 0.2526
0.2581 0.2581 0.7582
0.4293 0.0757 0.2526
0.5707 0.9243 0.7474
0.7419 0.7419 0.2418
0.9243 0.5707 0.7474
0.5000 0.5000 0.5000
```


Below is crystalline Th2SiSn at its relaxed geometry, with properties calculated at the PBE level.

As for the density of states at the Fermi level: 4.223 states/eV per cell. For the calculated density, the calculation gives 9.69 Mg/m³. As for the space-group type: P4/mmm. The value obtained for the energy above the most stable polymorph in this dataset is 61 meV/atom.

```
Th2SiSn
1.0
3.4992 0.0000 0.0000
0.0000 3.4992 0.0000
0.0000 0.0000 8.5483
Th Si Sn
2 1 1
direct
0.0000 0.0000 0.2226
0.0000 0.0000 0.7774
0.5000 0.5000 0.0000
0.5000 0.5000 0.5000
```


Below is crystalline HfBi3Ru at its relaxed geometry, with properties calculated at the PBE level.

As for the density of states at the Fermi level: 6.958 states/eV per cell. The formation energy is 1.177 eV per atom. For the calculated density, the calculation gives 8.74 Mg/m³. As for the space-group type: Pm-3m. The value obtained for the energy above the most stable polymorph in this dataset is 362 meV/atom.

```
HfBi3Ru
1.0
5.5646 0.0000 0.0000
0.0000 5.5646 0.0000
0.0000 0.0000 5.5646
Hf Bi Ru
1 3 1
direct
0.0000 0.0000 0.0000
0.0000 0.0000 0.5000
0.0000 0.5000 0.0000
0.5000 0.0000 0.0000
0.5000 0.5000 0.5000
```